A plane-wave DFT calculation with PBE with a Hubbard U was carried out for a relaxed WIO3 crystal.

Unit cell a=5.5495 b=5.5495 c=11.3729 alpha=102.12 beta=102.12 gamma=40.46
Atoms (fractional coordinates):
W  0.1189  0.1189  0.4249
W  0.8811  0.8811  0.5751
I  0.3767  0.3767  0.0236
I  0.6233  0.6233  0.9764
O  0.0599  0.0599  0.6097
O  0.1505  0.1505  0.2819
O  0.3302  0.3302  0.5319
O  0.6698  0.6698  0.4681
O  0.8495  0.8495  0.7181
O  0.9401  0.9401  0.3903

Summary:
DOS(E_F): 0.13 states/eV per atom
SG: C2/m, No. 12
total energy: -6.092 eV/atom
total moment: 0.10 μB per cell
crystal system: monoclinic